1.
PBE Ce2ErTmP4, relaxed; space-group type = No. 10; formation energy = -1.55 eV per atom; total DFT energy (no corrections) = -0.505 Ry per atom; calculated volume = 183.9 Å³ per cell
1.0
-0.899 3.861 -0.703
-5.846 -1.955 -3.263
-1.311 0.927 6.762
Ce Er P Tm
2 1 4 1
direct
0.000 0.500 0.500
0.500 0.000 0.500
0.000 0.000 0.000
0.000 0.747 0.243
0.500 0.249 0.244
0.000 0.253 0.757
0.500 0.751 0.756
0.500 0.500 0.000

=====

2.
PBE Ce3Er2TmP6, relaxed; space-group type = No. 12; formation energy = -1.55 eV per atom; total DFT energy (no corrections) = -0.505 Ry per atom; calculated volume = 276.2 Å³ per cell
1.0
6.977 -0.002 0.000
-3.488 6.042 0.000
-1.164 -2.015 6.553
P Ce Er Tm
6 3 2 1
direct
0.414 0.081 0.244
0.749 0.749 0.244
0.919 0.586 0.756
0.081 0.414 0.244
0.251 0.251 0.756
0.586 0.919 0.756
0.833 0.167 0.500
0.500 0.500 0.500
0.167 0.833 0.500
0.333 0.667 0.000
0.667 0.333 0.000
0.000 0.000 0.000

=====

Which formula does entry 2 have?
Ce3Er2TmP6